[1]
Computed, not measured: SiNiBAsAuC after structural relaxation at the PBE level of DFT.

Cell and atoms, written as POSCAR:
```
SiNiBAsAuC
1.0
8.779 0.000 0.000
0.000 3.255 0.000
-4.026 0.000 6.003
Si Ni B As Au C
2 2 2 2 2 2
Cartesian
0.000 0.000 0.000
4.390 1.627 0.000
-1.661 0.000 5.219
2.729 1.627 5.219
1.189 1.627 0.404
5.579 0.000 0.404
-0.656 1.627 3.731
3.733 0.000 3.731
1.723 1.627 2.652
6.113 0.000 2.652
2.656 1.627 0.520
7.046 0.000 0.520
```

Values from the calculation:
Formation energy from raw total energies ... 0.307 eV/atom
VASP energy ... -66.38 eV per cell
N(E_F) ... 0.30 states/eV per atom

---

[2]
Computed, not measured: MgNi2Ag2 after structural relaxation at the PBE level of DFT.

Cell and atoms, written as POSCAR:
```
MgNi2Ag2
1.0
7.327 0.000 0.000
0.000 7.327 0.000
0.000 0.000 2.964
Mg Ni Ag
2 4 4
Cartesian
0.000 0.000 0.000
3.663 3.663 0.000
1.165 2.498 1.482
2.498 6.162 1.482
4.828 1.165 1.482
6.162 4.828 1.482
1.012 4.675 0.000
2.652 1.012 0.000
4.675 6.315 0.000
6.315 2.652 0.000
```

Values from the calculation:
Energy of formation from the pure elements ... 0.2096 eV per atom
VASP energy ... -35.62 eV per cell
N(E_F) ... 0.62 states/eV per atom

---

[3]
Computed, not measured: PAuS2N after structural relaxation at the PBE level of DFT.

Cell and atoms, written as POSCAR:
```
PAuS2N
1.0
4.787 0.000 0.000
0.000 4.787 0.000
0.000 0.000 3.211
P Au S N
1 1 2 1
Cartesian
0.000 0.000 0.000
2.393 2.393 1.605
0.000 2.393 0.000
2.393 0.000 0.000
0.000 0.000 1.605
```

Values from the calculation:
Formation energy from raw total energies ... 0.677 eV/atom
VASP energy ... -21.88 eV per cell
N(E_F) ... 0.53 states/eV per atom